1.
{
  "formula": "LiTl2",
  "functional": "PBEsol",
  "state": "optimized geometry",
  "lattice_angstrom": [[-3.385, 3.385, 3.012], [3.385, -3.385, 3.012], [3.385, 3.385, -3.012]],
  "species": ["Li", "Li", "Tl", "Tl", "Tl", "Tl"],
  "fractional_positions": [[0.250, 0.250, 0.000], [0.750, 0.750, 0.000], [0.167, 0.667, 0.834], [0.333, 0.167, 0.500], [0.667, 0.833, 0.500], [0.833, 0.333, 0.166]],
  "dos_at_fermi_per_ev_fu": 1.397,
  "delta_e_f_ev_per_atom": -0.13,
  "magnetic_moment_mub_per_fu": 0.00,
  "relative_energy_mev_per_atom": 27,
  "final_energy_ev_per_atom": -2.54
}


2.
{
  "formula": "FeRu3F",
  "functional": "PBEsol",
  "state": "optimized geometry",
  "lattice_angstrom": [[4.353, 0.000, 0.000], [0.000, 4.353, 0.000], [0.000, 0.000, 4.353]],
  "species": ["Fe", "Ru", "Ru", "Ru", "F"],
  "fractional_positions": [[0.000, 0.000, 0.000], [0.000, 0.000, 0.500], [0.000, 0.500, 0.000], [0.500, 0.000, 0.000], [0.500, 0.500, 0.500]],
  "dos_at_fermi_per_ev_fu": 7.915,
  "formation_energy_uncorrected_ev_per_atom": 1.6275,
  "magnetic_moment_mub_per_fu": 3.48,
  "final_energy_ev_per_atom": -6.65
}


3.
{
  "formula": "Na2LiSb",
  "functional": "PBEsol",
  "state": "optimized geometry",
  "lattice_angstrom": [[-2.222, 2.222, 10.645], [2.222, -2.222, 10.645], [2.222, 2.222, -10.645]],
  "species": ["Na", "Na", "Na", "Na", "Li", "Li", "Sb", "Sb"],
  "fractional_positions": [[0.113, 0.625, 0.988], [0.375, 0.363, 0.488], [0.637, 0.125, 0.012], [0.875, 0.887, 0.512], [0.250, 0.750, 0.500], [0.500, 0.500, 0.000], [0.000, 0.000, 0.000], [0.750, 0.250, 0.500]],
  "dos_at_fermi_per_ev_fu": 1.596,
  "formation_energy_uncorrected_ev_per_atom": -0.1365,
  "magnetic_moment_mub_per_fu": 0.00,
  "final_energy_ev_per_atom": -2.47
}


4.
{
  "formula": "BePbO2F",
  "functional": "PBEsol",
  "state": "optimized geometry",
  "lattice_angstrom": [[4.204, 0.000, 0.000], [0.000, 4.204, 0.000], [0.000, 0.000, 4.330]],
  "species": ["Be", "Pb", "O", "O", "F"],
  "fractional_positions": [[0.000, 0.000, 0.000], [0.500, 0.500, 0.500], [0.000, 0.500, 0.500], [0.500, 0.000, 0.500], [0.500, 0.500, 0.000]],
  "dos_at_fermi_per_ev_fu": 1.874,
  "formation_energy_uncorrected_ev_per_atom": -0.2400,
  "magnetic_moment_mub_per_fu": 0.50,
  "final_energy_ev_per_atom": -4.32
}


5.
{
  "formula": "BaCo3H",
  "functional": "PBEsol",
  "state": "optimized geometry",
  "lattice_angstrom": [[4.833, 0.000, 0.000], [0.000, 4.833, 0.000], [0.000, 0.000, 4.833]],
  "species": ["Ba", "Co", "Co", "Co", "H"],
  "fractional_positions": [[0.000, 0.000, 0.000], [0.000, 0.000, 0.500], [0.000, 0.500, 0.000], [0.500, 0.000, 0.000], [0.500, 0.500, 0.500]],
  "dos_at_fermi_per_ev_fu": 10.930,
  "magnetic_moment_mub_per_fu": 3.79,
  "final_energy_ev_per_atom": -2.87
}


6.
{
  "formula": "CaLaAu",
  "functional": "PBEsol",
  "state": "optimized geometry",
  "lattice_angstrom": [[-1.822, 1.822, 6.610], [1.822, -1.822, 6.610], [1.822, 1.822, -6.610]],
  "species": ["Ca", "La", "Au"],
  "fractional_positions": [[0.000, 0.000, 0.000], [0.733, 0.733, 0.000], [0.368, 0.368, 0.000]],
  "dos_at_fermi_per_ev_fu": 3.782,
  "delta_e_f_ev_per_atom": -0.48,
  "magnetic_moment_mub_per_fu": 0.00,
  "final_energy_ev_per_atom": -4.28
}